1.
Entry from the Alexandria database: a geometry-optimized MgTaTe2 structure (GGA-PBE).

Lattice parameters (Å, degrees): 5.096 5.096 5.096 60.00 60.00 60.00
Site moments in Bohr magnetons follow the coordinates.
Fractional coordinates of all 4 atoms:
Mg 0.500 0.500 0.500  0.03
Te 0.000 0.000 0.000  -0.05
Te 0.250 0.250 0.250  -0.05
Ta 0.750 0.750 0.750  1.12

Symmetry: F-43m (216)
D(E_F), states/eV per cell: 3.9
Uncorrected formation energy, eV per formula unit: 2.638
Raw total energy, eV per atom: -4.273

=====

2.
Entry from the Alexandria database: a geometry-optimized MgTaTe3 structure (GGA-PBE).

Lattice parameters (Å, degrees): 5.438 5.438 5.438 90.00 90.00 90.00
Fractional coordinates of all 5 atoms:
Te 0.500 0.000 0.000
Te 0.000 0.500 0.000
Te 0.000 0.000 0.500
Mg 0.500 0.500 0.500
Ta 0.000 0.000 0.000

Symmetry: Pm-3m (221)
D(E_F), states/eV per cell: 4.2
Uncorrected formation energy, eV per formula unit: 0.803
Raw total energy, eV per atom: -4.414
E above lowest polymorph, meV per atom: 0

=====

3.
Entry from the Alexandria database: a geometry-optimized MgTaTe2 structure (GGA-PBE).

Lattice parameters (Å, degrees): 3.487 3.487 7.402 90.00 90.00 90.00
Fractional coordinates of all 4 atoms:
Te 0.000 0.000 0.974
Te 0.000 0.000 0.526
Ta 0.500 0.500 0.750
Mg 0.500 0.500 0.250

Symmetry: P4/mmm (123)
D(E_F), states/eV per cell: 2.8
Uncorrected formation energy, eV per formula unit: -0.415
Raw total energy, eV per atom: -5.036

=====

4.
Entry from the Alexandria database: a geometry-optimized MgTaTe2 structure (GGA-PBE).

Lattice parameters (Å, degrees): 9.382 9.382 9.382 22.82 22.82 22.82
Site moments in Bohr magnetons follow the coordinates.
Fractional coordinates of all 4 atoms:
Te 0.097 0.097 0.097  -0.02
Te 0.903 0.903 0.903  -0.02
Ta 0.000 0.000 0.000  0.55
Mg 0.500 0.500 0.500  0.01

Symmetry: R-3m (166)
D(E_F), states/eV per cell: 3.9
Uncorrected formation energy, eV per formula unit: 1.848
Raw total energy, eV per atom: -4.471

=====

5.
Entry from the Alexandria database: a geometry-optimized MgTaTe2 structure (GGA-PBE).

Lattice parameters (Å, degrees): 5.486 5.486 4.867 89.63 89.63 38.93
Fractional coordinates of all 4 atoms:
Te 0.264 0.264 0.390
Te 0.994 0.994 0.883
Mg 0.536 0.536 0.371
Ta 0.706 0.706 0.856

Symmetry: Cm (8)
D(E_F), states/eV per cell: 2.5
Uncorrected formation energy, eV per formula unit: -0.330
Raw total energy, eV per atom: -5.015

=====

6.
Entry from the Alexandria database: a geometry-optimized MgTa2VTe structure (GGA-PBE).

Lattice parameters (Å, degrees): 5.055 4.899 5.055 90.00 90.00 90.00
Site moments in Bohr magnetons follow the coordinates.
Fractional coordinates of all 5 atoms:
Mg 0.500 0.500 0.500  -0.01
Te 0.000 0.000 0.000  0.01
V 0.000 0.500 0.000  2.24
Ta 0.000 0.000 0.500  0.08
Ta 0.500 0.000 0.000  0.14

Symmetry: P4/mmm (123)
D(E_F), states/eV per cell: 4.5
Uncorrected formation energy, eV per formula unit: 7.216
Raw total energy, eV per atom: -6.069